[1]
Computed, not measured: crystalline RbInPt at its relaxed geometry at the PBE-GGA level of DFT.

```
RbInPt
1.0
4.585 0.000 0.000
-2.292 3.970 0.000
0.000 0.000 5.532
Rb In Pt
1 1 1
direct
0.000 0.000 0.000
0.667 0.333 0.500
0.333 0.667 0.500
```

Computed properties:
Fermi-level density of states ... 0.69 states/eV/cell
Uncorrected energy ... -3.478 eV per atom
Energy above the most stable polymorph in this dataset ... 54 meV per atom
Space-group type ... P-6m2 (187)
ΔH_f (0 K) ... -0.229 eV/atom


[2]
Computed, not measured: crystalline RbInPt at its relaxed geometry at the PBE-GGA level of DFT.

```
RbInPt
1.0
3.648 -3.489 0.000
3.648 3.489 0.000
-0.130 0.000 7.957
Rb In Pt
2 2 2
direct
0.245 0.245 0.332
0.755 0.755 0.668
0.295 0.295 0.880
0.705 0.705 0.120
0.200 0.800 0.000
0.800 0.200 0.000
```

Computed properties:
Fermi-level density of states ... 3.03 states/eV/cell
Uncorrected energy ... -3.533 eV per atom
Energy above the most stable polymorph in this dataset ... 0 meV per atom
Space-group type ... C2/m (12)
ΔH_f (0 K) ... -0.284 eV/atom


[3]
Computed, not measured: crystalline RbIn2Pt at its relaxed geometry at the PBE-GGA level of DFT.

```
RbIn2Pt
1.0
3.481 0.000 0.000
0.000 3.481 0.000
0.000 0.000 8.883
Rb In Pt
1 2 1
direct
0.000 0.000 0.000
0.500 0.500 0.324
0.500 0.500 0.676
0.000 0.000 0.500
```

Computed properties:
Fermi-level density of states ... 1.85 states/eV/cell
Uncorrected energy ... -3.336 eV per atom
Space-group type ... P4/mmm (123)
ΔH_f (0 K) ... -0.214 eV/atom


[4]
Computed, not measured: crystalline RbIn4Pt at its relaxed geometry at the PBE-GGA level of DFT.

```
RbIn4Pt
1.0
8.821 0.000 0.000
0.000 4.413 0.000
0.000 0.000 8.550
Rb In Pt
2 8 2
direct
0.250 0.000 0.093
0.750 0.000 0.907
0.000 0.000 0.500
0.069 0.500 0.788
0.250 0.500 0.436
0.431 0.500 0.788
0.500 0.000 0.500
0.569 0.500 0.212
0.750 0.500 0.564
0.931 0.500 0.212
0.250 0.000 0.676
0.750 0.000 0.324
```

Computed properties:
Fermi-level density of states ... 5.43 states/eV/cell
Uncorrected energy ... -3.250 eV per atom
Energy above the most stable polymorph in this dataset ... 0 meV per atom
Space-group type ... Pmma (51)
ΔH_f (0 K) ... -0.256 eV/atom


[5]
Computed, not measured: crystalline RbIn6Pt3 at its relaxed geometry at the PBE-GGA level of DFT.

```
RbIn6Pt3
1.0
6.743 0.000 0.000
3.348 5.917 0.000
3.323 1.951 6.459
Rb In Pt
1 6 3
direct
0.000 0.000 0.000
0.075 0.538 0.813
0.259 0.872 0.385
0.493 0.263 0.380
0.537 0.573 0.812
0.568 0.080 0.813
0.875 0.492 0.381
0.294 0.292 0.121
0.630 0.637 0.104
0.817 0.824 0.540
```

Computed properties:
Fermi-level density of states ... 4.74 states/eV/cell
Uncorrected energy ... -3.823 eV per atom
Space-group type ... P1 (1)
ΔH_f (0 K) ... -0.271 eV/atom


[6]
Computed, not measured: crystalline Rb2InPt2 at its relaxed geometry at the PBE-GGA level of DFT.

```
Rb2InPt2
1.0
6.989 0.000 0.000
0.000 6.989 0.000
0.000 0.000 5.771
Rb In Pt
4 2 4
direct
0.175 0.325 0.000
0.325 0.825 0.000
0.675 0.175 0.000
0.825 0.675 0.000
0.000 0.000 0.500
0.500 0.500 0.500
0.132 0.632 0.500
0.368 0.132 0.500
0.632 0.868 0.500
0.868 0.368 0.500
```

Computed properties:
Fermi-level density of states ... 6.83 states/eV/cell
Uncorrected energy ... -3.455 eV per atom
Energy above the most stable polymorph in this dataset ... 165 meV per atom
Space-group type ... P4/mbm (127)
ΔH_f (0 K) ... -0.104 eV/atom


[7]
Computed, not measured: crystalline RbIn2Pt at its relaxed geometry at the PBE-GGA level of DFT.

```
RbIn2Pt
1.0
2.349 1.356 6.742
-2.349 1.356 6.742
0.000 -2.712 6.742
Rb In Pt
1 2 1
direct
0.000 0.000 0.000
0.536 0.536 0.536
0.804 0.804 0.804
0.178 0.178 0.178
```

Computed properties:
Fermi-level density of states ... 0.82 states/eV/cell
Uncorrected energy ... -3.429 eV per atom
Space-group type ... R3m (160)
ΔH_f (0 K) ... -0.307 eV/atom


[8]
Computed, not measured: crystalline RbInPt at its relaxed geometry at the PBE-GGA level of DFT.

```
RbInPt
1.0
-1.876 3.183 7.362
1.876 -3.183 7.362
1.876 3.183 -7.362
Rb In Pt
2 2 2
direct
0.199 0.199 0.000
0.801 0.801 0.000
0.254 0.500 0.754
0.746 0.500 0.246
0.404 0.904 0.500
0.596 0.096 0.500
```

Computed properties:
Fermi-level density of states ... 1.75 states/eV/cell
Uncorrected energy ... -3.383 eV per atom
Energy above the most stable polymorph in this dataset ... 149 meV per atom
Space-group type ... Immm (71)
ΔH_f (0 K) ... -0.134 eV/atom


[9]
Computed, not measured: crystalline Rb4In3Pt2 at its relaxed geometry at the PBE-GGA level of DFT.

```
Rb4In3Pt2
1.0
9.687 -2.115 0.000
9.687 2.115 0.000
-2.954 0.000 8.445
Rb In Pt
4 3 2
direct
0.078 0.078 0.386
0.275 0.275 0.817
0.725 0.725 0.183
0.922 0.922 0.614
0.398 0.398 0.232
0.500 0.500 0.000
0.602 0.602 0.768
0.078 0.078 0.935
0.922 0.922 0.065
```

Computed properties:
Fermi-level density of states ... 3.59 states/eV/cell
Uncorrected energy ... -2.896 eV per atom
Space-group type ... C2/m (12)
ΔH_f (0 K) ... -0.211 eV/atom


[10]
Computed, not measured: crystalline RbInPt2 at its relaxed geometry at the PBE-GGA level of DFT.

```
RbInPt2
1.0
2.355 1.359 6.209
-2.355 1.359 6.209
0.000 -2.719 6.209
Rb In Pt
1 1 2
direct
0.000 0.000 0.000
0.500 0.500 0.500
0.178 0.178 0.178
0.822 0.822 0.822
```

Computed properties:
Fermi-level density of states ... 1.94 states/eV/cell
Uncorrected energy ... -4.258 eV per atom
Space-group type ... R-3m (166)
ΔH_f (0 K) ... -0.311 eV/atom


[11]
Computed, not measured: crystalline RbIn6Pt at its relaxed geometry at the PBE-GGA level of DFT.

```
RbIn6Pt
1.0
4.817 0.000 0.000
0.000 4.817 0.000
0.000 0.000 9.627
Rb In Pt
1 6 1
direct
0.000 0.000 0.000
0.000 0.500 0.341
0.000 0.500 0.659
0.500 0.000 0.341
0.500 0.000 0.659
0.500 0.500 0.152
0.500 0.500 0.848
0.000 0.000 0.500
```

Computed properties:
Fermi-level density of states ... 4.71 states/eV/cell
Uncorrected energy ... -3.154 eV per atom
Space-group type ... P4/mmm (123)
ΔH_f (0 K) ... -0.225 eV/atom


[12]
Computed, not measured: crystalline RbInRePt2 at its relaxed geometry at the PBE-GGA level of DFT.

```
RbInRePt2
1.0
5.173 0.000 0.000
0.000 5.173 0.000
0.000 0.000 5.221
Rb In Re Pt
1 1 1 2
direct
0.000 0.000 0.000
0.500 0.500 0.500
0.500 0.500 0.000
0.000 0.500 0.500
0.500 0.000 0.500
```

Computed properties:
Fermi-level density of states ... 5.37 states/eV/cell
Uncorrected energy ... -4.271 eV per atom
Space-group type ... P4/mmm (123)
ΔH_f (0 K) ... 1.376 eV/atom


[13]
Computed, not measured: crystalline RbTlIn2Pt at its relaxed geometry at the PBE-GGA level of DFT.

```
RbTlIn2Pt
1.0
5.316 0.000 0.000
0.000 5.316 0.000
0.000 0.000 5.668
Rb Tl In Pt
1 1 2 1
direct
0.000 0.000 0.000
0.500 0.500 0.000
0.000 0.500 0.500
0.500 0.000 0.500
0.500 0.500 0.500
```

Computed properties:
Fermi-level density of states ... 3.00 states/eV/cell
Uncorrected energy ... -3.112 eV per atom
Space-group type ... P4/mmm (123)
ΔH_f (0 K) ... -0.142 eV/atom


[14]
Computed, not measured: crystalline Rb2Tl6InPt at its relaxed geometry at the PBE-GGA level of DFT.

```
Rb2Tl6InPt
1.0
7.703 0.000 0.000
3.570 6.894 0.000
3.508 2.165 6.647
Rb Tl In Pt
2 6 1 1
direct
0.196 0.197 0.196
0.804 0.803 0.804
0.165 0.353 0.643
0.354 0.836 0.644
0.358 0.643 0.165
0.642 0.357 0.835
0.646 0.164 0.356
0.835 0.647 0.357
0.000 0.000 0.000
0.500 0.500 0.500
```

Computed properties:
Fermi-level density of states ... 5.40 states/eV/cell
Uncorrected energy ... -2.518 eV per atom
Space-group type ... P-1 (2)
ΔH_f (0 K) ... -0.026 eV/atom


[15]
Computed, not measured: crystalline RbTl2InPt at its relaxed geometry at the PBE-GGA level of DFT.

```
RbTl2InPt
1.0
5.557 0.000 0.000
0.000 5.557 0.000
0.000 0.000 5.326
Rb Tl In Pt
1 2 1 1
direct
0.000 0.000 0.000
0.000 0.500 0.500
0.500 0.000 0.500
0.500 0.500 0.000
0.500 0.500 0.500
```

Computed properties:
Fermi-level density of states ... 3.56 states/eV/cell
Uncorrected energy ... -2.990 eV per atom
Space-group type ... P4/mmm (123)
ΔH_f (0 K) ... -0.094 eV/atom


[16]
Computed, not measured: crystalline RbZnIn2Pt at its relaxed geometry at the PBE-GGA level of DFT.

```
RbZnIn2Pt
1.0
5.285 0.000 0.000
0.000 5.285 0.000
0.000 0.000 5.106
Rb Zn In Pt
1 1 2 1
direct
0.000 0.000 0.000
0.500 0.500 0.000
0.000 0.500 0.500
0.500 0.000 0.500
0.500 0.500 0.500
```

Computed properties:
Fermi-level density of states ... 2.55 states/eV/cell
Uncorrected energy ... -2.963 eV per atom
Energy above the most stable polymorph in this dataset ... 0 meV per atom
Space-group type ... P4/mmm (123)
ΔH_f (0 K) ... -0.211 eV/atom


[17]
Computed, not measured: crystalline RbZnIn2Pt at its relaxed geometry at the PBE-GGA level of DFT.

```
RbZnIn2Pt
1.0
6.414 0.000 0.000
0.000 6.414 0.000
0.000 0.000 5.472
Rb Zn In Pt
1 1 2 1
direct
0.000 0.000 0.000
0.500 0.500 0.500
0.000 0.500 0.000
0.500 0.000 0.000
0.000 0.000 0.500
```

Computed properties:
Fermi-level density of states ... 4.06 states/eV/cell
Uncorrected energy ... -1.522 eV per atom
Energy above the most stable polymorph in this dataset ... 1441 meV per atom
Space-group type ... P4/mmm (123)
ΔH_f (0 K) ... 1.230 eV/atom


[18]
Computed, not measured: crystalline InRe2Pt at its relaxed geometry at the PBE-GGA level of DFT.

```
InRe2Pt
1.0
3.337 0.000 0.000
0.000 4.235 0.000
0.000 0.000 4.648
In Re Pt
1 2 1
direct
0.000 0.000 0.000
0.000 0.500 0.500
0.500 0.000 0.500
0.500 0.500 0.000
```

Computed properties:
Fermi-level density of states ... 2.35 states/eV/cell
Uncorrected energy ... -8.051 eV per atom
Space-group type ... Pmmm (47)
ΔH_f (0 K) ... 0.368 eV/atom


[19]
Computed, not measured: crystalline InRe2Pt at its relaxed geometry at the PBE-GGA level of DFT.

```
InRe2Pt
1.0
0.000 2.848 4.248
2.689 0.000 4.248
2.689 2.848 0.000
In Re Pt
1 2 1
direct
0.000 0.000 0.000
0.250 0.250 0.250
0.750 0.750 0.750
0.500 0.500 0.500
```

Computed properties:
Fermi-level density of states ... 3.67 states/eV/cell
Uncorrected energy ... -8.059 eV per atom
Space-group type ... Fmmm (69)
ΔH_f (0 K) ... 0.360 eV/atom


[20]
Computed, not measured: crystalline In2RePt2 at its relaxed geometry at the PBE-GGA level of DFT.

```
In2RePt2
1.0
-1.967 1.967 6.321
1.967 -1.967 6.321
1.967 1.967 -6.321
In Re Pt
2 1 2
direct
0.250 0.750 0.500
0.750 0.250 0.500
0.000 0.000 0.000
0.401 0.401 0.000
0.599 0.599 0.000
```

Computed properties:
Fermi-level density of states ... 3.81 states/eV/cell
Uncorrected energy ... -5.407 eV per atom
Space-group type ... I4/mmm (139)
ΔH_f (0 K) ... 0.595 eV/atom